Record 1
The following is a DFT calculation (PBE) of crystalline K4Rb3Br3O2 at its relaxed geometry.

```
K4Rb3Br3O2
1.0
-2.7688 13.9082 2.6362
2.7688 -13.9082 2.6362
2.7688 13.9082 -2.6362
K Rb Br O
4 3 3 2
direct
0.1017 0.0000 0.1017 K
0.3070 0.5007 0.8063 K
0.6943 0.5007 0.1937 K
0.8983 0.0000 0.8983 K
0.4018 0.9991 0.4027 Rb
0.5015 0.5015 0.0000 Rb
0.5964 0.9991 0.5973 Rb
0.0002 0.5002 0.5000 Br
0.1848 0.4988 0.6860 Br
0.8127 0.4988 0.3140 Br
0.3979 0.4999 0.8980 O
0.6020 0.4999 0.1020 O
```

Output
Electronic total energy: -38.65 eV/cell
Size of the total moment: 0.00 μB/f.u.
Theoretical density: 2.799 g/cm3



Record 2
The following is a DFT calculation (PBE) of crystalline KRb2BrO at its relaxed geometry.

```
KRb2BrO
1.0
5.5923 0.0000 0.0000
0.0000 5.5923 0.0000
0.0000 0.0000 5.2632
K Rb Br O
1 2 1 1
direct
0.0000 0.0000 0.0000 K
0.0000 0.5000 0.5000 Rb
0.5000 0.0000 0.5000 Rb
0.5000 0.5000 0.0000 Br
0.0000 0.0000 0.5000 O
```

Output
Electronic total energy: -16.06 eV/cell
Size of the total moment: 0.00 μB/f.u.
Theoretical density: 3.086 g/cm3



Record 3
The following is a DFT calculation (PBE) of crystalline KRb2Br6O at its relaxed geometry.

```
KRb2Br6O
1.0
-3.7631 3.7631 6.9492
3.7631 -3.7631 6.9492
3.7631 3.7631 -6.9492
K Rb Br O
1 2 6 1
direct
0.0000 0.0000 0.0000 K
0.2500 0.7500 0.5000 Rb
0.7500 0.2500 0.5000 Rb
0.2261 0.2261 0.0000 Br
0.2933 0.2933 0.5866 Br
0.2933 0.7067 0.0000 Br
0.7067 0.2933 0.0000 Br
0.7067 0.7067 0.4134 Br
0.7739 0.7739 0.0000 Br
0.5000 0.5000 0.0000 O
```

Output
Electronic total energy: -25.01 eV/cell
Size of the total moment: 1.00 μB/f.u.
DOS(E_F): 9.55 states/eV/f.u.
Theoretical density: 2.976 g/cm3